Entry from Alexandria: a relaxed structure of SmDy4Tm5 (PBE-GGA).

Properties
- crystal system = tetragonal
- ΔE to the lowest computed polymorph (meV per atom) = 115

Cell: 10.1395 10.1395 6.2361 Å, 90.00 90.00 90.00°
Closest atoms and distances in Å follow each position.
Space group I4 (No. 79)
Asymmetric unit:
Sm 0.0000 0.0000 0.0000 [2 per cell]  1 Tm 2.86
Dy 0.0500 0.6512 0.2298 [8 per cell]  4 Tm 3.21-3.49, 1 Dy 3.23
Tm 0.0000 0.0000 0.4587 [2 per cell]  1 Sm 2.86
Tm 0.1442 0.7670 0.7265 [8 per cell]  4 Dy 3.21-3.49, 1 Tm 3.24, 1 Sm 3.26